# 1
The following is a DFT calculation (PBE) of a geometry-optimized Sm3Te2N structure.

a = 3.9673 Å, b = 3.9673 Å, c = 11.0790 Å
α = 90.00°, β = 90.00°, γ = 120.00°
Space group P-3m1 (No. 164)
One atom of each set of equivalent atoms:
Sm  0.0000  0.0000  0.0000 x1
Sm  0.3333  0.6667  0.6151 x2
Te  0.3333  0.6667  0.1887 x2
N  0.0000  0.0000  0.5000 x1

***

# 2
The following is a DFT calculation (PBE) of a geometry-optimized LuAlNiOs structure.

a = 6.380 Å, b = 6.380 Å, c = 6.380 Å
α = 90.00°, β = 90.00°, γ = 90.00°
Space group F-43m (No. 216)
One atom of each set of equivalent atoms:
Lu  0.000  0.000  0.000 x4
Al  0.250  0.250  0.250 x4
Ni  0.000  0.000  0.500 x4
Os  0.250  0.250  0.750 x4

***

# 3
The following is a DFT calculation (PBE) of a geometry-optimized NaTbSnTe3 structure.

a = 4.598 Å, b = 15.131 Å, c = 11.438 Å
α = 90.00°, β = 90.00°, γ = 90.00°
Space group Cmcm (No. 63)
One atom of each set of equivalent atoms:
Na  0.000  0.229  0.250 x4
Tb  0.000  0.000  0.000 x4
Sn  0.000  0.485  0.750 x4
Te  0.000  0.115  0.750 x4
Te  0.000  0.360  0.547 x8

***

# 4
The following is a DFT calculation (PBE) of a geometry-optimized Ta4SnGeN2 structure.

a = 3.2497 Å, b = 3.2497 Å, c = 12.9860 Å
α = 90.00°, β = 90.00°, γ = 120.00°
Space group P-6m2 (No. 187)
One atom of each set of equivalent atoms:
Ta  0.0000  0.0000  0.1486 x2
Ta  0.3333  0.6667  0.3213 x2
Sn  0.0000  0.0000  0.5000 x1
Ge  0.3333  0.6667  0.0000 x1
N  0.6667  0.3333  0.2366 x2

***

Number 1: raw total energy -6.097 eV per atom. Number 2: raw total energy -6.131 eV per atom. Number 3: raw total energy -3.951 eV per atom. Number 4: raw total energy -9.544 eV per atom.